# 1
## Sr2Cd2Mo (PBE-GGA)

Data for Sr2Cd2Mo after structural relaxation.

Results
Total DFT energy (no corrections) ... -2.088 eV/atom
Spin magnetization ... 0.0 μB per formula unit
Formation energy ... 1.117 eV/atom

Cell lengths 4.636, 4.636, 7.684 Å; angles 72.44, 72.44, 90.00 degrees
Fractional coordinates of all 5 atoms:
Mo 0.000 0.000 0.000
Sr 0.750 0.250 0.500
Cd 0.408 0.408 0.184
Sr 0.250 0.750 0.500
Cd 0.592 0.592 0.816

***

# 2
## La3YI (PBE-GGA)

Data for La3YI after structural relaxation.

Results
Total DFT energy (no corrections) ... -4.145 eV/atom
Spin magnetization ... 0.0 μB per formula unit
Formation energy without anion corrections ... 0.414 eV per atom

Cell lengths 5.979, 5.979, 5.979 Å; angles 90.00, 90.00, 90.00 degrees
Fractional coordinates of all 5 atoms:
La 0.000 0.500 0.000
I 0.500 0.500 0.500
Y 0.000 0.000 0.000
La 0.500 0.000 0.000
La 0.000 0.000 0.500

***

# 3
## Mn2AlTe2 (PBE-GGA)

Data for Mn2AlTe2 after structural relaxation.

Results
Total DFT energy (no corrections) ... -4.995 eV/atom
Spin magnetization ... 0.0 μB per formula unit
Formation energy without anion corrections ... 0.678 eV per atom

Cell lengths 7.683, 7.683, 3.035 Å; angles 90.00, 90.00, 90.00 degrees
Fractional coordinates of all 10 atoms:
Mn 0.363 0.137 0.500
Te 0.650 0.150 0.000
Al 0.000 0.000 0.000
Te 0.850 0.650 0.000
Te 0.150 0.350 0.000
Mn 0.863 0.363 0.500
Al 0.500 0.500 0.000
Mn 0.637 0.863 0.500
Te 0.350 0.850 0.000
Mn 0.137 0.637 0.500

***

# 4
## MgCu2WSe (PBE-GGA)

Data for MgCu2WSe after structural relaxation.

Results
Total DFT energy (no corrections) ... -4.033 eV/atom
Spin magnetization ... 3.7 μB per formula unit
Formation energy without anion corrections ... 1.212 eV per atom

Cell lengths 4.527, 4.946, 4.527 Å; angles 90.00, 90.00, 90.00 degrees
Last column: magnetic moment on the atom in μB.
Fractional coordinates of all 5 atoms:
Mg 0.000 0.500 0.000  -0.01
W 0.500 0.500 0.500  2.65
Se 0.000 0.000 0.000  0.08
Cu 0.000 0.000 0.500  0.04
Cu 0.500 0.000 0.000  0.06